## Sr2CuCl2O2 (PBE)

Data for an optimized crystal structure of Sr2CuCl2O2.

Cell: 4.9215 4.9215 6.0317 Å, 90.00 90.00 90.00°
Last column: nearest neighbours and their distance in Å.
Space group P4/mmm (No. 123)
Symmetry-distinct sites (fractional):
Sr 0.0000 0.5000 0.0000 [2 per cell]  4 O 2.46
Cu 0.0000 0.0000 0.5000 [1 per cell]  4 Cl 2.46
Cl 0.0000 0.5000 0.5000 [2 per cell]  2 Cu 2.46
O 0.0000 0.0000 0.0000 [1 per cell]  4 Sr 2.46
O 0.5000 0.5000 0.0000 [1 per cell]  4 Sr 2.46

Computed properties:
**Uncorrected formation energy**: -1.645 eV/atom
**Total magnetization**: 0.685 μB per cell
**VASP energy**: -4.66 eV/atom
**Volume**: 146.1 Å³ per cell

## Pr3Ga (PBE)

Data for an optimized crystal structure of Pr3Ga.

Cell: 4.8994 4.8994 4.8994 Å, 90.00 90.00 90.00°
Last column: nearest neighbours and their distance in Å.
Space group Pm-3m (No. 221)
Symmetry-distinct sites (fractional):
Pr 0.0000 0.0000 0.5000 [3 per cell]  8 Pr 3.46, 4 Ga 3.46
Ga 0.5000 0.5000 0.5000 [1 per cell]  12 Pr 3.46

Computed properties:
**Total magnetization**: 0.000 μB per cell
**VASP energy**: -4.57 eV/atom
**Excess energy over the best structure of this formula in the dataset**: 24 meV per atom
**Volume**: 117.6 Å³ per cell
**Energy of formation from the pure elements**: -233 meV per atom

## CaZnGe2S6 (PBE)

Data for an optimized crystal structure of CaZnGe2S6.

Cell: 12.7211 12.0262 6.8171 Å, 90.00 111.36 90.00°
Last column: nearest neighbours and their distance in Å.
Space group C2/c (No. 15)
Symmetry-distinct sites (fractional):
Ca 0.0000 0.1241 0.2500 [4 per cell]  6 S 2.78-2.92
Zn 0.0000 0.2229 0.7500 [4 per cell]  4 S 2.31-2.49
Ge 0.1974 0.4245 0.2046 [8 per cell]  4 S 2.23-2.29
S 0.1139 0.0725 0.6717 [8 per cell]  1 Ge 2.24, 1 Zn 2.49
S 0.1293 0.4355 0.4725 [8 per cell]  2 Ge 2.26-2.29
S 0.1306 0.2565 0.0829 [8 per cell]  1 Ge 2.23, 1 Zn 2.31

Computed properties:
**Uncorrected formation energy**: -0.698 eV/atom
**Total magnetization**: 0.000 μB per cell
**VASP energy**: -4.43 eV/atom
**Volume**: 971.3 Å³ per cell

## Tb3TmZr (PBE)

Data for an optimized crystal structure of Tb3TmZr.

Cell: 18.0048 3.4538 9.8368 Å, 90.00 106.02 90.00°
Last column: nearest neighbours and their distance in Å.
Space group C2/m (No. 12)
Symmetry-distinct sites (fractional):
Tb 0.0020 0.0000 0.2483 [4 per cell]  4 Tm 3.40-3.55, 7 Tb 3.45-3.63, 1 Zr 3.50
Tb 0.1065 0.5000 0.5445 [4 per cell]  3 Zr 3.28-3.33, 8 Tb 3.43-3.63
Tb 0.2033 0.0000 0.8422 [4 per cell]  3 Tm 3.35-3.60, 2 Zr 3.40, 7 Tb 3.43-3.56
Tm 0.1033 0.5000 0.0606 [4 per cell]  7 Tb 3.35-3.60, 3 Tm 3.45-3.58, 2 Zr 3.47
Zr 0.2043 0.0000 0.3611 [4 per cell]  4 Zr 3.27-3.45, 6 Tb 3.28-3.50, 2 Tm 3.47

Computed properties:
**Total magnetization**: 0.000 μB per cell
**VASP energy**: -5.31 eV/atom
**Volume**: 587.9 Å³ per cell
**Energy of formation from the pure elements**: 67 meV per atom

## CsRbNa2Pb (PBE)

Data for an optimized crystal structure of CsRbNa2Pb.

Cell: 6.3630 6.3630 7.2508 Å, 90.00 90.00 90.00°
Last column: nearest neighbours and their distance in Å.
Space group P4/mmm (No. 123)
Symmetry-distinct sites (fractional):
Cs 0.0000 0.0000 0.0000 [1 per cell]  2 Pb 3.63
Rb 0.5000 0.5000 0.0000 [1 per cell]  4 Cs 4.50, 8 Na 4.82
Na 0.0000 0.5000 0.5000 [2 per cell]  2 Pb 3.18
Pb 0.0000 0.0000 0.5000 [1 per cell]  4 Na 3.18

Computed properties:
**Total magnetization**: 0.000 μB per cell
**VASP energy**: -1.60 eV/atom
**Excess energy over the best structure of this formula in the dataset**: 53 meV per atom
**Volume**: 293.6 Å³ per cell
**Energy of formation from the pure elements**: 31 meV per atom

## PmPu2NbN4 (PBE)

Data for an optimized crystal structure of PmPu2NbN4.

Cell: 3.4042 11.9338 12.2066 Å, 90.00 90.00 90.00°
Last column: nearest neighbours and their distance in Å.
Space group Cmcm (No. 63)
Symmetry-distinct sites (fractional):
Pm 0.0000 0.1089 0.2500 [4 per cell]  6 N 2.51-2.75
Pu 0.0000 0.3686 0.0360 [8 per cell]  5 N 2.33-2.56
Nb 0.0000 0.1539 0.7500 [4 per cell]  4 N 2.00-2.14
N 0.0000 0.0000 0.0000 [4 per cell]  4 Pu 2.36
N 0.0000 0.2627 0.6248 [8 per cell]  1 Nb 2.00
N 0.0000 0.4542 0.2500 [4 per cell]  2 Nb 2.14

Computed properties:
**Uncorrected formation energy**: -1.054 eV/atom
**Total magnetization**: 41.228 μB per cell
**VASP energy**: -10.65 eV/atom
**Volume**: 495.9 Å³ per cell